Ta2Cr | PBE-GGA | optimized geometry

a b c (Å): 3.024 3.024 6.287
angles (deg): 90.00 90.00 120.00
Fractional positions:
Ta (0.333, 0.667, 0.311)
Ta (0.667, 0.333, 0.689)
Cr (0.000, 0.000, 0.000)

Output
Fermi-level density of states, states/eV/atom: 1.16
Space-group type: P-3m1 (164)
ΔE_f, eV/atom: 0.316
Theoretical density, Mg/m³: 13.80

***

TaCr3 | PBE-GGA | optimized geometry

a b c (Å): 2.816 8.178 2.816
angles (deg): 99.91 60.00 99.91
Fractional positions:
Cr (0.250, 0.750, 0.250)
Cr (0.509, 0.527, 0.509)
Cr (0.991, 0.973, 0.991)
Ta (0.750, 0.250, 0.750)

Output
Fermi-level density of states, states/eV/atom: 1.10
Space-group type: R-3m (166)
ΔE_f, eV/atom: 0.401
Theoretical density, Mg/m³: 10.17

***

Ta4Cr | PBE-GGA | optimized geometry

a b c (Å): 6.523 6.523 6.523
angles (deg): 60.00 60.00 60.00
Fractional positions:
Ta (0.394, 0.394, 0.818)
Ta (0.394, 0.394, 0.394)
Ta (0.432, 0.856, 0.856)
Ta (0.856, 0.856, 0.432)
Ta (0.394, 0.818, 0.394)
Ta (0.856, 0.856, 0.856)
Ta (0.818, 0.394, 0.394)
Ta (0.856, 0.432, 0.856)
Cr (0.250, 0.250, 0.250)
Cr (0.000, 0.000, 0.000)

Output
Fermi-level density of states, states/eV/atom: 1.65
Space-group type: Fd-3m (227)
ΔE_f, eV/atom: 1.370
Theoretical density, Mg/m³: 13.13

***

Ta2Cr3 | PBE-GGA | optimized geometry

a b c (Å): 10.116 10.116 10.116
angles (deg): 16.64 16.64 16.64
Fractional positions:
Cr (0.195, 0.195, 0.195)
Cr (0.805, 0.805, 0.805)
Cr (0.000, 0.000, 0.000)
Ta (0.400, 0.400, 0.400)
Ta (0.600, 0.600, 0.600)

Output
Fermi-level density of states, states/eV/atom: 0.90
Space-group type: R-3m (166)
ΔE_f, eV/atom: 0.379
Theoretical density, Mg/m³: 11.61